DFT (GGA-PBE) results for an optimized crystal structure of NaLaSnPb.

Output
ΔE to the lowest computed polymorph, meV per atom: 98
ΔH_f (0 K), eV per atom: -0.3742
M_tot, μB/cell: 0.00

a = 7.8144 Å, b = 7.8144 Å, c = 7.8144 Å
α = 90.00°, β = 90.00°, γ = 90.00°
Atoms (fractional coordinates):
Na1 0.0000 0.0000 0.0000
Na2 0.0000 0.5000 0.5000
Na3 0.5000 0.0000 0.5000
Na4 0.5000 0.5000 0.0000
La1 0.0000 0.0000 0.5000
La2 0.0000 0.5000 0.0000
La3 0.5000 0.0000 0.0000
La4 0.5000 0.5000 0.5000
Sn1 0.2500 0.2500 0.2500
Sn2 0.2500 0.7500 0.7500
Sn3 0.7500 0.2500 0.7500
Sn4 0.7500 0.7500 0.2500
Pb1 0.2500 0.2500 0.7500
Pb2 0.2500 0.7500 0.2500
Pb3 0.7500 0.2500 0.2500
Pb4 0.7500 0.7500 0.7500